Entry 1:
## ErTmInAg (PBE)

Data for a relaxed structure of ErTmInAg.

Lattice parameters (Å, degrees): 7.3445 7.3445 7.3445 90.00 90.00 90.00
Last column: nearest neighbours and their distance in Å.
Space group F-43m (No. 216)
Inequivalent atoms, fractional coordinates:
Er (0.0000, 0.0000, 0.0000) (multiplicity 4)  4 In 3.18, 4 Ag 3.18
Tm (0.0000, 0.0000, 0.5000) (multiplicity 4)  4 In 3.18, 4 Ag 3.18
In (0.2500, 0.2500, 0.7500) (multiplicity 4)  4 Er 3.18, 4 Tm 3.18
Ag (0.2500, 0.2500, 0.2500) (multiplicity 4)  4 Er 3.18, 4 Tm 3.18

Results
calculated formation energy	-0.40	eV per atom
Fermi-level density of states	0.6618	states/eV per atom

=====

Entry 2:
## ZrBeV2Au (PBE)

Data for a relaxed structure of ZrBeV2Au.

Lattice parameters (Å, degrees): 4.2036 4.2036 4.6226 90.00 90.00 90.00
Last column: nearest neighbours and their distance in Å.
Space group P4/mmm (No. 123)
Inequivalent atoms, fractional coordinates:
Zr (0.0000, 0.0000, 0.0000) (multiplicity 1)  2 Be 2.31
Be (0.0000, 0.0000, 0.5000) (multiplicity 1)  4 V 2.10, 2 Zr 2.31
V (0.0000, 0.5000, 0.5000) (multiplicity 2)  2 Be 2.10
Au (0.5000, 0.5000, 0.0000) (multiplicity 1)  4 Zr 2.97, 8 V 3.12

Results
calculated formation energy	0.42	eV per atom
Fermi-level density of states	1.3232	states/eV per atom

=====

Entry 3:
## Al4CuIr3 (PBE)

Data for a relaxed structure of Al4CuIr3.

Lattice parameters (Å, degrees): 2.9831 2.9831 12.2589 90.00 90.00 90.00
Last column: nearest neighbours and their distance in Å.
Space group P4/mmm (No. 123)
Inequivalent atoms, fractional coordinates:
Al (0.0000, 0.0000, 0.1216) (multiplicity 2)  4 Cu 2.58, 4 Ir 2.61
Al (0.0000, 0.0000, 0.3737) (multiplicity 2)  8 Ir 2.62
Cu (0.5000, 0.5000, 0.0000) (multiplicity 1)  8 Al 2.58
Ir (0.5000, 0.5000, 0.2472) (multiplicity 2)  8 Al 2.61-2.62
Ir (0.5000, 0.5000, 0.5000) (multiplicity 1)  8 Al 2.62

Results
calculated formation energy	-0.77	eV per atom
Fermi-level density of states	0.2098	states/eV per atom

=====

Entry 4:
## Tl2Pt3S4 (PBE)

Data for a relaxed structure of Tl2Pt3S4.

Lattice parameters (Å, degrees): 6.3387 11.1818 12.0840 90.00 90.00 90.00
Last column: nearest neighbours and their distance in Å.
Space group Fmmm (No. 69)
Inequivalent atoms, fractional coordinates:
Tl (0.0000, 0.0000, 0.1416) (multiplicity 8)  8 S 3.39-3.76, 1 Tl 3.42, 6 Pt 3.60-3.64
Pt (0.0000, 0.0000, 0.5000) (multiplicity 4)  4 S 2.37
Pt (0.2500, 0.2500, 0.0000) (multiplicity 8)  4 S 2.37
S (0.0000, 0.1647, 0.3769) (multiplicity 16)  3 Pt 2.37

Results
raw formation energy	-0.367	eV/atom

=====

Entry 5:
## Li7Tl4Ge (PBE)

Data for a relaxed structure of Li7Tl4Ge.

Lattice parameters (Å, degrees): 13.6212 5.0919 8.0635 90.00 117.08 90.00
Last column: nearest neighbours and their distance in Å.
Space group C2/m (No. 12)
Inequivalent atoms, fractional coordinates:
Li (0.0000, 0.0000, 0.0000) (multiplicity 2)  2 Ge 2.55
Li (0.0654, 0.5000, 0.3941) (multiplicity 4)  3 Li 2.81-3.13, 1 Ge 2.88, 5 Tl 3.07-3.09
Li (0.1878, 0.5000, 0.8752) (multiplicity 4)  1 Li 2.71, 2 Tl 2.93
Li (0.2056, 0.5000, 0.2243) (multiplicity 4)  1 Ge 2.55, 2 Li 2.71-2.81, 3 Tl 2.74-2.86
Tl (0.0796, 0.0000, 0.7153) (multiplicity 4)  4 Li 2.74-2.95
Tl (0.1833, 0.0000, 0.3640) (multiplicity 4)  8 Li 2.86-3.14
Ge (0.0000, 0.5000, 0.0000) (multiplicity 2)  4 Li 2.55

Results
calculated formation energy	-0.14	eV per atom
Fermi-level density of states	0.2991	states/eV per atom

=====

Entry 6:
## Re3Ag (PBE)

Data for a relaxed structure of Re3Ag.

Lattice parameters (Å, degrees): 8.9821 8.9821 2.6703 90.00 90.00 120.00
Last column: nearest neighbours and their distance in Å.
Space group R-3m (No. 166, hexagonal axes)
Inequivalent atoms, fractional coordinates:
Re (0.0000, 0.5000, 0.0000) (multiplicity 9)  6 Re 2.67-2.74, 2 Ag 2.74
Ag (0.0000, 0.0000, 0.0000) (multiplicity 3)  2 Ag 2.67, 6 Re 2.74

Results
calculated formation energy	0.68	eV per atom
Fermi-level density of states	0.7785	states/eV per atom

=====

| no. | magnetization (μB per cell) |
| --- | --- |
| 1 | 0.00 |
| 2 | 1.49 |
| 3 | 0.00 |
| 4 | 0.00 |
| 5 | 0.00 |
| 6 | 0.00 |